1.
A relaxed structure of PuTlPb4. Source: the Alexandria database, functional PBE.

a b c (Å): 9.1629 9.1629 9.1629
angles (deg): 90.00 90.00 90.00
Last column: nearest neighbours and their distance in Å.
Space group F-43m (No. 216)
Asymmetric unit:
1 Pu 0.0000 0.0000 0.0000 (multiplicity 4)  12 Pb 3.80, 4 Tl 3.97
2 Tl 0.2500 0.2500 0.2500 (multiplicity 4)  12 Pb 3.80, 4 Pu 3.97
3 Pb 0.1256 0.1256 0.6256 (multiplicity 16)  6 Pb 3.23-3.25

Calculated values
E_tot: -5.164 eV/atom
ΔH_f (0 K): 8.8 kJ/mol of atoms
DOS at the Fermi energy: 3.603 states/eV/atom


2.
A relaxed structure of Pu2TlPb2. Source: the Alexandria database, functional PBE.

a b c (Å): 5.3320 5.3320 6.5157
angles (deg): 90.00 90.00 120.00
Last column: nearest neighbours and their distance in Å.
Space group P-3m1 (No. 164)
Asymmetric unit:
1 Pu 0.3333 0.6667 0.1480 (multiplicity 2)  5 Pb 3.22-3.37, 3 Tl 3.23
2 Tl 0.0000 0.0000 0.0000 (multiplicity 1)  6 Pu 3.23
3 Pb 0.3333 0.6667 0.6418 (multiplicity 2)  5 Pu 3.22-3.37, 3 Pb 3.59

Calculated values
E_tot: -7.608 eV/atom
ΔH_f (0 K): 7.9 kJ/mol of atoms
DOS at the Fermi energy: 3.659 states/eV/atom


3.
A relaxed structure of PuTl15Pb4. Source: the Alexandria database, functional PBE.

a b c (Å): 5.0804 5.0804 23.3807
angles (deg): 90.00 90.00 90.00
Last column: nearest neighbours and their distance in Å.
Space group P4/mmm (No. 123)
Asymmetric unit:
1 Pu 0.0000 0.0000 0.0000 (multiplicity 1)  12 Tl 3.38-3.59
2 Tl 0.0000 0.5000 0.0956 (multiplicity 4)  2 Pb 3.31, 8 Tl 3.38-3.59, 2 Pu 3.38
3 Tl 0.0000 0.5000 0.2975 (multiplicity 4)  8 Tl 3.45-3.59, 4 Pb 3.45-3.63
4 Tl 0.0000 0.5000 0.5000 (multiplicity 2)  8 Tl 3.49-3.59, 4 Pb 3.49
5 Tl 0.5000 0.5000 0.0000 (multiplicity 1)  8 Tl 3.38, 4 Pu 3.59
6 Tl 0.5000 0.5000 0.1978 (multiplicity 2)  8 Tl 3.45-3.49, 4 Pb 3.60
7 Tl 0.5000 0.5000 0.3978 (multiplicity 2)  8 Tl 3.46-3.49, 4 Pb 3.59
8 Pb 0.0000 0.0000 0.1866 (multiplicity 2)  12 Tl 3.31-3.63
9 Pb 0.0000 0.0000 0.3976 (multiplicity 2)  12 Tl 3.45-3.59

Calculated values
E_tot: -3.221 eV/atom
ΔH_f (0 K): 1.2 kJ/mol of atoms
DOS at the Fermi energy: 1.176 states/eV/atom


4.
A relaxed structure of PuTl6Pb. Source: the Alexandria database, functional PBE.

a b c (Å): 7.1954 7.1954 4.5263
angles (deg): 90.00 90.00 90.00
Last column: nearest neighbours and their distance in Å.
Space group P4/mmm (No. 123)
Asymmetric unit:
1 Pu 0.0000 0.0000 0.0000 (multiplicity 1)  12 Tl 3.41-3.60
2 Tl 0.0000 0.5000 0.0000 (multiplicity 2)  8 Tl 3.40, 2 Pb 3.60, 2 Pu 3.60
3 Tl 0.2509 0.2509 0.5000 (multiplicity 4)  2 Pb 3.40, 8 Tl 3.40-3.61, 2 Pu 3.41
4 Pb 0.5000 0.5000 0.0000 (multiplicity 1)  12 Tl 3.40-3.60

Calculated values
E_tot: -4.001 eV/atom
ΔH_f (0 K): 2.7 kJ/mol of atoms
DOS at the Fermi energy: 2.068 states/eV/atom


5.
A relaxed structure of Pu2TlPb. Source: the Alexandria database, functional PBE.

a b c (Å): 7.6856 7.6856 7.6856
angles (deg): 90.00 90.00 90.00
Last column: nearest neighbours and their distance in Å.
Space group Fm-3m (No. 225)
Asymmetric unit:
1 Pu 0.2500 0.2500 0.2500 (multiplicity 8)  4 Tl 3.33, 4 Pb 3.33
2 Tl 0.0000 0.0000 0.0000 (multiplicity 4)  8 Pu 3.33
3 Pb 0.0000 0.0000 0.5000 (multiplicity 4)  8 Pu 3.33

Calculated values
E_tot: -8.713 eV/atom
E above lowest polymorph: 0.259 eV/f.u.
ΔH_f (0 K): -2.7 kJ/mol of atoms
DOS at the Fermi energy: 4.722 states/eV/atom


6.
A relaxed structure of Pu2TlPb. Source: the Alexandria database, functional PBE.

a b c (Å): 4.7992 4.7992 4.7450
angles (deg): 90.00 90.00 90.00
Last column: nearest neighbours and their distance in Å.
Space group P4/mmm (No. 123)
Asymmetric unit:
1 Pu 0.0000 0.5000 0.0000 (multiplicity 2)  4 Tl 3.37, 4 Pb 3.37, 4 Pu 3.39
2 Tl 0.0000 0.0000 0.5000 (multiplicity 1)  8 Pu 3.37, 4 Pb 3.39
3 Pb 0.5000 0.5000 0.5000 (multiplicity 1)  8 Pu 3.37, 4 Tl 3.39

Calculated values
E_tot: -8.778 eV/atom
E above lowest polymorph: 0.000 eV/f.u.
ΔH_f (0 K): -9.0 kJ/mol of atoms
DOS at the Fermi energy: 3.953 states/eV/atom